## LaOF3 (PBE-GGA)

Data for a relaxed structure of LaOF3.

Electronic total energy   -4.8278 eV per atom
Energy relative to the elements, uncorrected   -1.7279 eV/atom
Energy above the most stable polymorph in this dataset   712.2 kJ/mol of formula units

Lattice parameters (Å, degrees): 4.116 4.116 4.116 90.00 90.00 90.00
Each line ends with the local moment (μB).
Positions (direct):
F: 0.000 0.500 0.000  0.18
F: 0.000 0.000 0.500  0.27
F: 0.500 0.000 0.000  0.08
O: 0.000 0.000 0.000  1.48
La: 0.500 0.500 0.500  -0.20

## Hf2CuHg (PBE-GGA)

Data for a relaxed structure of Hf2CuHg.

Electronic total energy   -5.5551 eV per atom
Formation energy from the elements   521.1 meV/atom

Lattice parameters (Å, degrees): 4.093 4.093 10.549 78.81 78.81 90.00
Positions (direct):
Hf: 0.623 0.125 0.250
Hf: 0.127 0.625 0.250
Hf: 0.375 0.377 0.750
Hf: 0.875 0.873 0.750
Hg: 0.000 0.000 0.000
Hg: 0.750 0.250 0.500
Cu: 0.500 0.500 0.000
Cu: 0.250 0.750 0.500

## SnTePd (PBE-GGA)

Data for a relaxed structure of SnTePd.

Electronic total energy   -4.4626 eV per atom
Energy relative to the elements, uncorrected   -0.3502 eV/atom

Lattice parameters (Å, degrees): 4.733 4.733 4.733 60.00 60.00 60.00
Positions (direct):
Te: 0.000 0.000 0.000
Sn: 0.500 0.500 0.500
Pd: 0.250 0.250 0.250

## Hg2IrRu (PBE-GGA)

Data for a relaxed structure of Hg2IrRu.

Electronic total energy   -4.3779 eV per atom
Formation energy from the elements   307.2 meV/atom
Energy above the most stable polymorph in this dataset   0.0 kJ/mol of formula units

Lattice parameters (Å, degrees): 2.897 2.897 8.600 90.00 90.00 90.00
Positions (direct):
Hg: 0.000 0.000 0.970
Hg: 0.500 0.500 0.277
Ir: 0.000 0.000 0.533
Ru: 0.500 0.500 0.720

Question: electronic total energy of number 4 (Hg2IrRu)?
Answer: -4.3779 eV per atom